[1]
## Tb5BiC (GGA-PBE)

Data for a relaxed Tb5BiC crystal.

Cell: 7.216 7.216 9.478 Å, 70.88 70.88 69.52°
Positions (direct):
Tb 0.897 0.685 0.138
Tb 0.189 0.641 0.474
Tb 0.685 0.897 0.638
Tb 0.942 0.058 0.250
Tb 0.359 0.811 0.026
Tb 0.641 0.189 0.974
Tb 0.058 0.942 0.750
Tb 0.315 0.103 0.362
Tb 0.811 0.359 0.526
Tb 0.103 0.315 0.862
Bi 0.576 0.424 0.250
Bi 0.424 0.576 0.750
C 0.000 0.000 0.000
C 0.000 0.000 0.500

Computed properties:
The energy of formation from the pure elements comes out at -0.164 eV/atom. Its space-group type is C2/c (15).

[2]
## Tb6Bi2C (GGA-PBE)

Data for a relaxed Tb6Bi2C crystal.

Cell: 6.499 7.979 9.889 Å, 90.00 92.00 90.00°
Positions (direct):
Tb 0.890 0.975 0.255
Tb 0.863 0.716 0.543
Tb 0.827 0.663 0.961
Tb 0.673 0.163 0.539
Tb 0.637 0.216 0.957
Tb 0.610 0.475 0.245
Tb 0.110 0.025 0.745
Tb 0.137 0.284 0.457
Tb 0.173 0.337 0.039
Tb 0.327 0.837 0.461
Tb 0.363 0.784 0.043
Tb 0.390 0.525 0.755
Bi 0.920 0.395 0.741
Bi 0.580 0.895 0.759
Bi 0.420 0.105 0.241
Bi 0.080 0.605 0.259
C 0.500 0.500 0.000
C 0.000 0.000 0.500

Computed properties:
The energy of formation from the pure elements comes out at -0.453 eV/atom. Its space-group type is P2_1/c (14). The distance to the lowest polymorph of the same formula comes out at 0 meV/atom.

[3]
## Tb10Bi4C3 (GGA-PBE)

Data for a relaxed Tb10Bi4C3 crystal.

Cell: 4.924 4.924 18.249 Å, 97.75 97.75 90.00°
Positions (direct):
Tb 0.137 0.637 0.273
Tb 0.069 0.069 0.138
Tb 0.637 0.137 0.273
Tb 0.863 0.363 0.727
Tb 0.363 0.863 0.727
Tb 0.931 0.931 0.862
Tb 0.207 0.207 0.413
Tb 0.793 0.793 0.587
Tb 0.000 0.500 0.000
Tb 0.500 0.000 0.000
Bi 0.569 0.569 0.137
Bi 0.431 0.431 0.863
Bi 0.298 0.298 0.597
Bi 0.702 0.702 0.403
C 0.140 0.140 0.281
C 0.860 0.860 0.719
C 0.000 0.000 0.000

Computed properties:
The energy of formation from the pure elements comes out at -0.578 eV/atom. Its space-group type is I4/mmm (139).

[4]
## Tb6Bi3C2 (GGA-PBE)

Data for a relaxed Tb6Bi3C2 crystal.

Cell: 4.811 4.811 13.313 Å, 100.41 100.41 90.00°
Positions (direct):
Tb 0.085 0.585 0.170
Tb 0.585 0.085 0.170
Tb 0.915 0.415 0.830
Tb 0.415 0.915 0.830
Tb 0.691 0.691 0.382
Tb 0.309 0.309 0.618
Bi 0.000 0.000 0.000
Bi 0.819 0.819 0.638
Bi 0.181 0.181 0.362
C 0.398 0.398 0.795
C 0.602 0.602 0.205

Computed properties:
The energy of formation from the pure elements comes out at -0.593 eV/atom. Its space-group type is I4/mmm (139).

[5]
## Tb12Bi6C (GGA-PBE)

Data for a relaxed Tb12Bi6C crystal.

Cell: 8.561 8.561 8.561 Å, 99.53 99.53 99.53°
Positions (direct):
Tb 0.803 0.580 0.459
Tb 0.459 0.803 0.580
Tb 0.580 0.459 0.803
Tb 0.197 0.420 0.541
Tb 0.541 0.197 0.420
Tb 0.420 0.541 0.197
Tb 0.063 0.002 0.295
Tb 0.998 0.705 0.937
Tb 0.705 0.937 0.998
Tb 0.937 0.998 0.705
Tb 0.002 0.295 0.063
Tb 0.295 0.063 0.002
Bi 0.698 0.885 0.350
Bi 0.650 0.302 0.115
Bi 0.115 0.650 0.302
Bi 0.302 0.115 0.650
Bi 0.350 0.698 0.885
Bi 0.885 0.350 0.698
C 0.000 0.000 0.000

Computed properties:
The energy of formation from the pure elements comes out at -0.477 eV/atom. Its space-group type is R-3 (148).

[6]
## Tb3TmBi2C (GGA-PBE)

Data for a relaxed Tb3TmBi2C crystal.

Cell: 4.791 4.884 8.739 Å, 106.23 105.91 90.00°
Positions (direct):
Tb 0.000 0.500 0.000
Tb 0.153 0.153 0.307
Tb 0.847 0.847 0.693
Tm 0.500 0.000 0.000
Bi 0.644 0.644 0.287
Bi 0.356 0.356 0.713
C 0.000 0.000 0.000

Computed properties:
The energy of formation from the pure elements comes out at -0.656 eV/atom. Its space-group type is Immm (71).

[7]
## Tb2Y2Bi2C (GGA-PBE)

Data for a relaxed Tb2Y2Bi2C crystal.

Cell: 4.861 4.861 8.754 Å, 106.12 106.12 90.00°
Positions (direct):
Tb 0.153 0.153 0.307
Tb 0.847 0.847 0.693
Y 0.000 0.500 0.000
Y 0.500 0.000 0.000
Bi 0.356 0.356 0.712
Bi 0.644 0.644 0.288
C 0.000 0.000 0.000

Computed properties:
The energy of formation from the pure elements comes out at -0.663 eV/atom. Its space-group type is I4/mmm (139).

[8]
## Tb2YBiC (GGA-PBE)

Data for a relaxed Tb2YBiC crystal.

Cell: 4.923 4.959 4.959 Å, 90.00 90.00 90.00°
Positions (direct):
Tb 0.000 0.000 0.500
Tb 0.000 0.500 0.000
Y 0.500 0.000 0.000
Bi 0.500 0.500 0.500
C 0.000 0.000 0.000

Computed properties:
The energy of formation from the pure elements comes out at -0.539 eV/atom. Its space-group type is P4/mmm (123).